(1)
Below is a relaxed structure of Ba2Mg6Sn3, with properties calculated at the PBE level.

Geometry as extended XYZ:
```
11
Lattice="8.860 0.000 0.000 -4.430 7.673 0.000 0.000 0.000 4.853" Properties=species:S:1:pos:R:3 pbc="T T T"
Ba 0.000 5.115 0.000
Ba 4.430 2.558 0.000
Mg -0.862 1.492 0.000
Mg -3.159 5.472 2.426
Mg 1.723 0.000 0.000
Mg 1.271 2.201 2.426
Mg 6.318 0.000 2.426
Mg 3.568 6.180 0.000
Sn -1.655 2.866 2.426
Sn 3.310 0.000 2.426
Sn 2.775 4.807 2.426
```

Properties
The formation energy is -0.358 eV/atom.


(2)
Below is a relaxed structure of SmHoCl, with properties calculated at the PBE level.

Geometry as extended XYZ:
```
3
Lattice="3.694 0.000 0.000 -1.847 3.199 0.000 0.000 0.000 7.083" Properties=species:S:1:pos:R:3 pbc="T T T"
Sm 0.000 0.000 0.000
Ho 1.847 1.066 2.703
Cl 0.000 2.133 4.814
```

Properties
The energy comes out at -4.6140 eV/atom.


(3)
Below is a relaxed structure of CaLaPmIn, with properties calculated at the PBE level.

Geometry as extended XYZ:
```
16
Lattice="8.004 0.000 0.000 0.000 8.004 0.000 0.000 0.000 8.004" Properties=species:S:1:pos:R:3 pbc="T T T"
Ca 0.000 0.000 0.000
Ca 0.000 4.002 4.002
Ca 4.002 0.000 4.002
Ca 4.002 4.002 0.000
La 2.001 2.001 6.003
La 2.001 6.003 2.001
La 6.003 2.001 2.001
La 6.003 6.003 6.003
Pm 2.001 2.001 2.001
Pm 2.001 6.003 6.003
Pm 6.003 2.001 6.003
Pm 6.003 6.003 2.001
In 0.000 0.000 4.002
In 0.000 4.002 0.000
In 4.002 0.000 0.000
In 4.002 4.002 4.002
```

Properties
The formation energy is -0.202 eV/atom.


(4)
Below is a relaxed structure of LaTh2Mo, with properties calculated at the PBE level.

Geometry as extended XYZ:
```
12
Lattice="3.505 0.000 0.000 -1.753 3.036 0.000 0.000 0.000 33.151" Properties=species:S:1:pos:R:3 pbc="T T T"
La 0.000 0.000 0.000
La 0.000 2.024 22.101
La 1.753 1.012 11.050
Th 0.000 0.000 3.328
Th 0.000 0.000 29.823
Th 0.000 2.024 18.773
Th 0.000 2.024 25.429
Th 1.753 1.012 7.722
Th 1.753 1.012 14.378
Mo 0.000 0.000 16.576
Mo 0.000 2.024 5.525
Mo 1.753 1.012 27.626
```

Properties
The formation energy is 0.429 eV/atom.